Record 1
Material: Sr3Li3Zn8
Method: DFT, GGA-PBE
State: relaxed

Output
The value obtained for the volume is 22.05 A^3/atom. The value obtained for the formation energy from the elements is -0.184 eV per atom.

Cell and atoms, written as CIF:
```
data_Sr3Li3Zn8
_chemical_formula_sum 'Sr6 Li6 Zn16'
_cell_length_a 4.502
_cell_length_b 9.616
_cell_length_c 14.261
_cell_angle_alpha 90.00
_cell_angle_beta 90.00
_cell_angle_gamma 90.00
_symmetry_space_group_name_H-M 'I m m m'
_symmetry_Int_Tables_number 71
_symmetry_space_group_name_Hall '-I 2 2'
loop_
_atom_site_label
_atom_site_type_symbol
_atom_site_fract_x
_atom_site_fract_y
_atom_site_fract_z
Sr1 Sr 0.000 0.000 0.000
Sr2 Sr 0.000 0.000 0.297
Li1 Li 0.000 0.208 0.500
Li2 Li 0.000 0.500 0.000
Zn1 Zn 0.000 0.279 0.135
Zn2 Zn 0.000 0.356 0.334
```

Record 2
Material: SrLi2Zn
Method: DFT, GGA-PBE
State: relaxed

Output
The value obtained for the volume is 26.51 A^3/atom. The value obtained for the formation energy from the elements is -0.075 eV per atom.

Cell and atoms, written as CIF:
```
data_SrLi2Zn
_chemical_formula_sum 'Sr3 Li6 Zn3'
_cell_length_a 4.7145
_cell_length_b 4.7145
_cell_length_c 16.5259
_cell_angle_alpha 90.00
_cell_angle_beta 90.00
_cell_angle_gamma 120.00
_symmetry_space_group_name_H-M 'R 3 m'
_symmetry_Int_Tables_number 160
_symmetry_space_group_name_Hall 'R 3 -2"'
loop_
_atom_site_label
_atom_site_type_symbol
_atom_site_fract_x
_atom_site_fract_y
_atom_site_fract_z
Sr1 Sr 0.0000 0.0000 0.0000
Li1 Li 0.0000 0.0000 0.5121
Li2 Li 0.0000 0.0000 0.8045
Zn1 Zn 0.0000 0.0000 0.1997
```

Record 3
Material: SrLi6Zn6
Method: DFT, GGA-PBE
State: relaxed

Output
The value obtained for the volume is 17.82 A^3/atom. The value obtained for the formation energy from the elements is -0.180 eV per atom.

Cell and atoms, written as CIF:
```
data_SrLi6Zn6
_chemical_formula_sum 'Sr2 Li12 Zn12'
_cell_length_a 5.254
_cell_length_b 9.247
_cell_length_c 9.535
_cell_angle_alpha 90.00
_cell_angle_beta 90.00
_cell_angle_gamma 90.00
_symmetry_space_group_name_H-M 'I m m m'
_symmetry_Int_Tables_number 71
_symmetry_space_group_name_Hall '-I 2 2'
loop_
_atom_site_label
_atom_site_type_symbol
_atom_site_fract_x
_atom_site_fract_y
_atom_site_fract_z
Sr1 Sr 0.000 0.000 0.000
Li1 Li 0.000 0.000 0.347
Li2 Li 0.000 0.285 0.500
Li3 Li 0.000 0.357 0.000
Zn1 Zn 0.000 0.500 0.270
Zn2 Zn 0.250 0.250 0.250
```

Record 4
Material: Sr8Li2Zn
Method: DFT, GGA-PBE
State: relaxed

Output
The value obtained for the volume is 43.88 A^3/atom. The relative energy among the computed polymorphs is 0.000 eV/f.u. The value obtained for the formation energy from the elements is 0.010 eV per atom.

Cell and atoms, written as CIF:
```
data_Sr8Li2Zn
_chemical_formula_sum 'Sr16 Li4 Zn2'
_cell_length_a 20.712
_cell_length_b 6.096
_cell_length_c 8.036
_cell_angle_alpha 90.00
_cell_angle_beta 107.93
_cell_angle_gamma 90.00
_symmetry_space_group_name_H-M 'C 1 2/m 1'
_symmetry_Int_Tables_number 12
_symmetry_space_group_name_Hall '-C 2y'
loop_
_atom_site_label
_atom_site_type_symbol
_atom_site_fract_x
_atom_site_fract_y
_atom_site_fract_z
Sr1 Sr 0.023 0.000 0.288
Sr2 Sr 0.091 0.500 0.928
Sr3 Sr 0.155 0.500 0.464
Sr4 Sr 0.202 0.000 0.803
Li1 Li 0.182 0.000 0.216
Zn1 Zn 0.000 0.500 0.500
```

Record 5
Material: SrLi9Zn3
Method: DFT, GGA-PBE
State: relaxed

Output
The value obtained for the volume is 19.72 A^3/atom. The value obtained for the formation energy from the elements is -0.095 eV per atom.

Cell and atoms, written as CIF:
```
data_SrLi9Zn3
_chemical_formula_sum 'Sr2 Li18 Zn6'
_cell_length_a 5.321
_cell_length_b 13.943
_cell_length_c 7.380
_cell_angle_alpha 90.00
_cell_angle_beta 110.55
_cell_angle_gamma 90.00
_symmetry_space_group_name_H-M 'C 1 2/m 1'
_symmetry_Int_Tables_number 12
_symmetry_space_group_name_Hall '-C 2y'
loop_
_atom_site_label
_atom_site_type_symbol
_atom_site_fract_x
_atom_site_fract_y
_atom_site_fract_z
Sr1 Sr 0.000 0.000 0.000
Li1 Li 0.000 0.500 0.500
Li2 Li 0.120 0.382 0.228
Li3 Li 0.165 0.181 0.348
Zn1 Zn 0.000 0.000 0.500
Zn2 Zn 0.250 0.250 0.000
```

Record 6
Material: Sr3LiZn
Method: DFT, GGA-PBE
State: relaxed

Output
The value obtained for the volume is 39.94 A^3/atom. The relative energy among the computed polymorphs is 0.000 eV/f.u. The value obtained for the formation energy from the elements is -0.058 eV per atom.

Cell and atoms, written as CIF:
```
data_Sr3LiZn
_chemical_formula_sum 'Sr6 Li2 Zn2'
_cell_length_a 4.515
_cell_length_b 9.423
_cell_length_c 9.667
_cell_angle_alpha 89.13
_cell_angle_beta 89.97
_cell_angle_gamma 76.17
_symmetry_space_group_name_H-M 'P -1'
_symmetry_Int_Tables_number 2
_symmetry_space_group_name_Hall '-P 1'
loop_
_atom_site_label
_atom_site_type_symbol
_atom_site_fract_x
_atom_site_fract_y
_atom_site_fract_z
Sr1 Sr 0.058 0.385 0.292
Sr2 Sr 0.243 0.013 0.694
Sr3 Sr 0.394 0.711 0.060
Li1 Li 0.414 0.674 0.431
Zn1 Zn 0.220 0.061 0.053
```

Copy entry 1 word for word.
Material: Sr3Li3Zn8
Method: DFT, GGA-PBE
State: relaxed

Output
The value obtained for the volume is 22.05 A^3/atom. The value obtained for the formation energy from the elements is -0.184 eV per atom.

Cell and atoms, written as CIF:
```
data_Sr3Li3Zn8
_chemical_formula_sum 'Sr6 Li6 Zn16'
_cell_length_a 4.502
_cell_length_b 9.616
_cell_length_c 14.261
_cell_angle_alpha 90.00
_cell_angle_beta 90.00
_cell_angle_gamma 90.00
_symmetry_space_group_name_H-M 'I m m m'
_symmetry_Int_Tables_number 71
_symmetry_space_group_name_Hall '-I 2 2'
loop_
_atom_site_label
_atom_site_type_symbol
_atom_site_fract_x
_atom_site_fract_y
_atom_site_fract_z
Sr1 Sr 0.000 0.000 0.000
Sr2 Sr 0.000 0.000 0.297
Li1 Li 0.000 0.208 0.500
Li2 Li 0.000 0.500 0.000
Zn1 Zn 0.000 0.279 0.135
Zn2 Zn 0.000 0.356 0.334
```

The lowest volume belongs to which entry?
SrLi6Zn6